# 1
{"formula": "ZnCoHgSb", "functional": "GGA-PBE", "state": "relaxed", "space_group": "F-43m (216)", "total_energy_ev_per_atom": -2.778, "lattice": [[3.001, -1.821, 3.113], [-1.621, -2.345, 3.726], [0.564, -4.650, 0.272]], "species": ["Co", "Hg", "Sb", "Zn"], "frac_coords": [[0.750, 0.750, 0.750], [0.500, 0.500, 0.500], [0.000, 0.000, 0.000], [0.250, 0.250, 0.250]]}

# 2
{"formula": "Sm3Ag2Hg3Pd", "functional": "GGA-PBE", "state": "relaxed", "ef_ev_per_atom": -0.4574, "space_group": "P-62m (189)", "total_energy_ev_per_atom": -3.330, "lattice": [[-3.123, 7.095, 1.857], [-1.038, -3.024, -7.302], [-3.230, -1.729, 1.175]], "species": ["Ag", "Ag", "Hg", "Hg", "Hg", "Pd", "Sm", "Sm", "Sm"], "frac_coords": [[0.667, 0.333, 0.500], [0.333, 0.667, 0.500], [0.731, 0.000, 0.500], [0.269, 0.269, 0.500], [0.000, 0.731, 0.500], [0.000, 0.000, 0.000], [0.387, 0.000, 0.000], [0.000, 0.387, 0.000], [0.613, 0.613, 0.000]]}

# 3
{"formula": "YGaCuMo", "functional": "GGA-PBE", "state": "relaxed", "space_group": "F-43m (216)", "total_energy_ev_per_atom": -5.523, "lattice": [[0.000, 3.342, 3.342], [3.342, 0.000, 3.342], [3.342, 3.342, 0.000]], "species": ["Cu", "Ga", "Mo", "Y"], "frac_coords": [[0.750, 0.750, 0.750], [0.000, 0.000, 0.000], [0.500, 0.500, 0.500], [0.250, 0.250, 0.250]]}

# 4
{"formula": "Tl2CuAuS4", "functional": "GGA-PBE", "state": "relaxed", "space_group": "I-4 (82)", "total_energy_ev_per_atom": -3.655, "lattice": [[-2.890, 2.890, 5.858], [2.890, -2.890, 5.858], [2.890, 2.890, -5.858]], "species": ["Au", "Cu", "S", "S", "S", "S", "Tl", "Tl"], "frac_coords": [[0.000, 0.000, 0.000], [0.750, 0.250, 0.500], [0.651, 0.134, 0.048], [0.397, 0.349, 0.483], [0.866, 0.914, 0.517], [0.086, 0.603, 0.952], [0.500, 0.500, 0.000], [0.250, 0.750, 0.500]]}

# 5
{"formula": "Dy3Se3N", "functional": "GGA-PBE", "state": "relaxed", "space_group": "Pnma (62)", "total_energy_ev_per_atom": -6.502, "lattice": [[-9.288, -7.952, 2.749], [1.933, -2.896, -1.847], [6.041, -3.159, 11.274]], "species": ["Dy", "Dy", "Dy", "Dy", "Dy", "Dy", "Dy", "Dy", "Dy", "Dy", "Dy", "Dy", "N", "N", "N", "N", "Se", "Se", "Se", "Se", "Se", "Se", "Se", "Se", "Se", "Se", "Se", "Se"], "frac_coords": [[0.437, 0.750, 0.134], [0.797, 0.750, 0.142], [0.042, 0.250, 0.150], [0.542, 0.250, 0.350], [0.297, 0.750, 0.358], [0.937, 0.750, 0.366], [0.063, 0.250, 0.634], [0.703, 0.250, 0.642], [0.458, 0.750, 0.650], [0.958, 0.750, 0.850], [0.203, 0.250, 0.858], [0.563, 0.250, 0.866], [0.964, 0.750, 0.203], [0.464, 0.750, 0.297], [0.536, 0.250, 0.703], [0.036, 0.250, 0.797], [0.870, 0.250, 0.006], [0.597, 0.250, 0.102], [0.275, 0.250, 0.188], [0.775, 0.250, 0.312], [0.097, 0.250, 0.398], [0.370, 0.250, 0.494], [0.630, 0.750, 0.506], [0.903, 0.750, 0.602], [0.225, 0.750, 0.688], [0.725, 0.750, 0.812], [0.403, 0.750, 0.898], [0.130, 0.750, 0.994]]}

# 6
{"formula": "HfGePb", "functional": "GGA-PBE", "state": "relaxed", "space_group": "F-43m (216)", "total_energy_ev_per_atom": -5.300, "lattice": [[0.001, 3.571, 3.571], [3.571, 0.001, 3.571], [3.571, 3.571, 0.001]], "species": ["Ge", "Hf", "Pb"], "frac_coords": [[0.250, 0.250, 0.250], [0.750, 0.750, 0.750], [0.000, 0.000, 0.000]]}